[1]
VASP calculation (GGA-PBE) on a geometry-optimized AcMgSi2Rh structure.

Cell: 6.242 6.242 6.242 Å, 139.86 139.86 58.06°
Fractional coordinates of all 5 atoms:
Ac1 0.000 0.000 0.000
Mg1 0.750 0.250 0.500
Si1 0.386 0.386 0.000
Si2 0.614 0.614 0.000
Rh1 0.250 0.750 0.500

Computed properties:
* density: 6.80 g/cm³
* space group: No. 119
* final energy: -27.21 eV for the cell shown
* uncorrected formation energy: -3.3 eV per formula unit

[2]
VASP calculation (GGA-PBE) on a geometry-optimized SmDy2Th structure.

Cell: 3.534 6.825 11.132 Å, 90.62 90.03 104.98°
Fractional coordinates of all 8 atoms:
Sm1 0.130 0.261 0.486
Sm2 0.870 0.739 0.514
Dy1 0.256 0.512 0.756
Dy2 0.479 0.958 0.247
Dy3 0.521 0.042 0.753
Dy4 0.744 0.488 0.244
Th1 0.127 0.253 0.013
Th2 0.873 0.747 0.987

Computed properties:
* density: 9.06 g/cm³
* space group: No. 2
* final energy: -42.38 eV for the cell shown
* E_form: 0.039 eV per atom
* excess energy over the best structure of this formula in the dataset: 28 meV/atom

[3]
VASP calculation (GGA-PBE) on a geometry-optimized CuRh2Br structure.

Cell: 4.601 4.601 4.601 Å, 126.75 126.75 78.65°
Fractional coordinates of all 4 atoms:
Cu1 0.000 0.000 0.000
Rh1 0.250 0.750 0.500
Rh2 0.750 0.250 0.500
Br1 0.500 0.500 0.000

Computed properties:
* density: 9.58 g/cm³
* space group: No. 139
* final energy: -18.03 eV for the cell shown
* uncorrected formation energy: 2.4 eV per formula unit
* excess energy over the best structure of this formula in the dataset: 286 meV/atom